[1]
A geometry-optimized CsPd5Se8 structure. Source: Alexandria, functional PBE-GGA.

Cell and atoms, written as POSCAR:
```
CsPd5Se8
1.0
9.669 -1.942 0.000
9.669 1.942 0.000
-2.583 0.000 8.767
Cs Pd Se
1 5 8
Direct
0.000 0.000 0.000 Cs
0.162 0.162 0.492 Pd
0.203 0.203 0.829 Pd
0.500 0.500 0.500 Pd
0.797 0.797 0.171 Pd
0.838 0.838 0.508 Pd
0.071 0.071 0.661 Se
0.260 0.260 0.347 Se
0.327 0.327 0.018 Se
0.411 0.411 0.653 Se
0.589 0.589 0.347 Se
0.673 0.673 0.982 Se
0.740 0.740 0.653 Se
0.929 0.929 0.339 Se
```

As for the total energy: -4.2706 eV/atom. As for the uncorrected formation energy: -35.11 kJ/mol of atoms.

[2]
A geometry-optimized LiGe2Au8 structure. Source: Alexandria, functional PBE-GGA.

Cell and atoms, written as POSCAR:
```
LiGe2Au8
1.0
4.110 -5.607 0.000
4.110 5.607 0.000
-0.952 0.000 4.404
Li Ge Au
1 2 8
Direct
0.000 0.000 0.000 Li
0.357 0.643 0.500 Ge
0.643 0.357 0.500 Ge
0.049 0.307 0.560 Au
0.239 0.761 0.000 Au
0.307 0.049 0.560 Au
0.330 0.330 0.080 Au
0.670 0.670 0.920 Au
0.693 0.951 0.440 Au
0.761 0.239 0.000 Au
0.951 0.693 0.440 Au
```

The value obtained for the formation energy is -7.27 kJ per mole of atoms. As for the total energy: -3.4724 eV/atom. The distance to the lowest polymorph of the same formula is 0.015 eV per atom.

[3]
A geometry-optimized Tb2PuCu9 structure. Source: Alexandria, functional PBE-GGA.

Cell and atoms, written as POSCAR:
```
Tb2PuCu9
1.0
2.602 1.502 8.249
-2.602 1.502 8.249
0.000 -3.004 8.249
Tb Pu Cu
2 1 9
Direct
0.142 0.142 0.142 Tb
0.858 0.858 0.858 Tb
0.000 0.000 0.000 Pu
0.083 0.581 0.581 Cu
0.332 0.332 0.332 Cu
0.419 0.419 0.917 Cu
0.419 0.917 0.419 Cu
0.500 0.500 0.500 Cu
0.581 0.083 0.581 Cu
0.581 0.581 0.083 Cu
0.668 0.668 0.668 Cu
0.917 0.419 0.419 Cu
```

The value obtained for the formation energy is -10.56 kJ per mole of atoms. As for the total energy: -5.1476 eV/atom.

[4]
A geometry-optimized Tb2PuRu structure. Source: Alexandria, functional PBE-GGA.

Cell and atoms, written as POSCAR:
```
Tb2PuRu
1.0
3.412 0.000 0.000
0.000 3.412 0.000
0.000 0.000 8.763
Tb Pu Ru
2 1 1
Direct
0.000 0.000 0.191 Tb
0.000 0.000 0.809 Tb
0.500 0.500 0.500 Pu
0.500 0.500 0.000 Ru
```

The value obtained for the formation energy is -11.67 kJ per mole of atoms. As for the total energy: -8.3380 eV/atom. The distance to the lowest polymorph of the same formula is 0.096 eV per atom.

[5]
A geometry-optimized CrCo2Ru structure. Source: Alexandria, functional PBE-GGA.

Cell and atoms, written as POSCAR:
```
CrCo2Ru
1.0
1.285 0.742 8.253
-1.285 0.742 8.253
0.000 -1.484 8.253
Cr Co Ru
1 2 1
Direct
0.000 0.000 0.000 Cr
0.253 0.253 0.253 Co
0.747 0.747 0.747 Co
0.500 0.500 0.500 Ru
```

The value obtained for the formation energy is 20.47 kJ per mole of atoms. As for the total energy: -8.0656 eV/atom. The distance to the lowest polymorph of the same formula is 0.161 eV per atom.

[6]
A geometry-optimized LiPb structure. Source: Alexandria, functional PBE-GGA.

Cell and atoms, written as POSCAR:
```
LiPb
1.0
3.403 0.000 0.000
-1.702 2.947 0.000
0.000 0.000 4.709
Li Pb
1 1
Direct
0.000 0.000 0.000 Li
0.667 0.333 0.500 Pb
```

The value obtained for the formation energy is -18.75 kJ per mole of atoms. As for the total energy: -3.0055 eV/atom.